Entry 1:
VASP calculation (PBE) on a geometry-optimized YCd2Au6 structure.

The structure in POSCAR format:
```
YCd2Au6
1.0
-1.720 3.861 7.124
1.720 -3.861 7.124
1.720 3.861 -7.124
Y Cd Au
1 2 6
Direct
0.000 0.000 0.000
0.355 0.855 0.500
0.645 0.145 0.500
0.003 0.324 0.679
0.319 0.500 0.819
0.356 0.676 0.679
0.644 0.324 0.321
0.681 0.500 0.181
0.997 0.676 0.321
```

Summary:
formation enthalpy at 0 K = -0.3145 eV per atom
symmetry = No. 71
calculated volume = 21.03 Å³ per atom
energy = -3.421 eV/atom
crystal system = orthorhombic



Entry 2:
VASP calculation (PBE) on a geometry-optimized CaOsC structure.

The structure in POSCAR format:
```
CaOsC
1.0
6.000 0.000 0.000
0.000 4.872 0.000
-3.502 0.000 7.382
Ca Os C
4 4 4
Direct
0.173 0.046 0.393
0.173 0.454 0.893
0.827 0.546 0.107
0.827 0.954 0.607
0.497 0.007 0.849
0.497 0.493 0.349
0.503 0.507 0.651
0.503 0.993 0.151
0.262 0.745 0.174
0.262 0.755 0.674
0.738 0.245 0.326
0.738 0.255 0.826
```

Summary:
formation enthalpy at 0 K = 0.1864 eV per atom
symmetry = No. 14
calculated volume = 17.98 Å³ per atom
energy = -7.299 eV/atom
excess energy over the best structure of this formula in the dataset = 72 meV/atom
crystal system = monoclinic